Version P
3
Lattice="5.765 0.000 0.000 -2.882 4.992 0.000 0.000 0.000 3.107" Properties=species:S:1:pos:R:3 comment="InSbTe PBE-GGA relaxed" volume_a3_per_fu=89 pbc="T T T"
Te 0.000 3.328 1.039
In 0.000 0.000 1.024
Sb 2.882 1.664 1.044

***

Version Q
3
Lattice="6.277 0.125 -0.075 3.047 5.489 0.075 -3.906 -4.063 2.768" Properties=species:S:1:pos:R:3 comment="InSbTe PBE-GGA relaxed" volume_a3_per_fu=96 pbc="T T T"
In 9.069 5.460 0.000
Te 6.020 3.625 0.000
Sb 3.560 2.143 0.000

***

What should be chosen as the least stable of them? Choose version Q.